# NbIn3Cl

NbIn3Cl after structural relaxation (PBE, Alexandria via LeMat-Bulk).

Properties
Space-group type: No. 221
Energy relative to the elements, uncorrected in kJ per mole of atoms: 42
Calculated total energy in eV/atom: -3.590
Crystal system: cubic
E above lowest polymorph in eV/atom: 0.000

abc: 5.569 5.569 5.569
angles: 90.00 90.00 90.00
Positions (direct):
Nb  0.000  0.000  0.000
In  0.000  0.000  0.500
In  0.000  0.500  0.000
In  0.500  0.000  0.000
Cl  0.500  0.500  0.500



# Dy2ScCd

Dy2ScCd after structural relaxation (PBE, Alexandria via LeMat-Bulk).

Properties
Space-group type: No. 160
Calculated total energy in eV/atom: -4.157
Crystal system: trigonal
E above lowest polymorph in eV/atom: 0.083

abc: 10.686 10.686 10.686
angles: 18.91 18.91 18.91
Positions (direct):
Dy  0.000  0.000  0.000
Dy  0.170  0.170  0.170
Sc  0.418  0.418  0.418
Cd  0.585  0.585  0.585



# Y5Ho4Sc

Y5Ho4Sc after structural relaxation (PBE, Alexandria via LeMat-Bulk).

Properties
Space-group type: No. 12
Calculated total energy in eV/atom: -5.559
Crystal system: monoclinic
E above lowest polymorph in eV/atom: 0.000

abc: 9.751 9.751 9.430
angles: 100.21 100.21 21.08
Positions (direct):
Y  0.000  0.000  0.000
Y  0.286  0.286  0.855
Y  0.386  0.386  0.218
Y  0.614  0.614  0.782
Y  0.714  0.714  0.145
Ho  0.179  0.179  0.509
Ho  0.433  0.433  0.716
Ho  0.567  0.567  0.284
Ho  0.821  0.821  0.491
Sc  0.000  0.000  0.500